Record 1
VASP calculation (PBE) on a geometry-optimized Sm2Tm8Cd structure.

```
data_Sm2Tm8Cd
_space_group_name_H-M_alt 'C 1 2/m 1'
_space_group_IT_number 12
_space_group_name_Hall '-C 2y'
_cell_length_a 19.1927
_cell_length_b 5.4862
_cell_length_c 6.3462
_cell_angle_alpha 90.00
_cell_angle_beta 95.25
_cell_angle_gamma 90.00
loop_
_atom_site_label
_atom_site_type_symbol
_atom_site_fract_x
_atom_site_fract_y
_atom_site_fract_z
Sm1 Sm 0.2438 0.0000 0.3308
Tm1 Tm 0.0445 0.0000 0.2661
Tm2 Tm 0.0777 0.5000 0.5996
Tm3 Tm 0.1525 0.0000 0.8077
Tm4 Tm 0.1591 0.5000 0.1251
Cd1 Cd 0.0000 0.5000 0.0000
```

Record 2
VASP calculation (PBE) on a geometry-optimized Sm6Tm3Cd structure.

```
data_Sm6Tm3Cd
_space_group_name_H-M_alt 'P 1 21/m 1'
_space_group_IT_number 11
_space_group_name_Hall '-P 2yb'
_cell_length_a 11.0590
_cell_length_b 5.0449
_cell_length_c 11.2575
_cell_angle_alpha 90.00
_cell_angle_beta 91.46
_cell_angle_gamma 90.00
loop_
_atom_site_label
_atom_site_type_symbol
_atom_site_fract_x
_atom_site_fract_y
_atom_site_fract_z
Sm1 Sm 0.0472 0.2500 0.3958
Sm2 Sm 0.1429 0.7500 0.1876
Sm3 Sm 0.1529 0.2500 0.6926
Sm4 Sm 0.2410 0.2500 0.9959
Sm5 Sm 0.3473 0.7500 0.7992
Sm6 Sm 0.4495 0.2500 0.6023
Tm1 Tm 0.2487 0.7500 0.4931
Tm2 Tm 0.3487 0.2500 0.2942
Tm3 Tm 0.4496 0.7500 0.0995
Cd1 Cd 0.0495 0.7500 0.8977
```

| no. | energy of formation from the pure elements (eV/atom) | density (Mg/m³) |
| --- | --- | --- |
| 1 | -0.008 | 8.81 |
| 2 | -0.018 | 8.05 |